# UTl2Ir2S6 | Alexandria | PBE | optimized geometry
data_UTl2Ir2S6
_chemical_formula_sum 'U2 Tl4 Ir4 S12'
_space_group_name_H-M_alt 'C 1 2/m 1'
_space_group_IT_number 12
_space_group_name_Hall '-C 2y'
_cell_length_a 6.100
_cell_length_b 10.664
_cell_length_c 8.201
_cell_angle_alpha 90.00
_cell_angle_beta 102.65
_cell_angle_gamma 90.00
loop_
_atom_site_label
_atom_site_type_symbol
_atom_site_fract_x
_atom_site_fract_y
_atom_site_fract_z
_atom_site_occupancy
U1 U 0.000 0.000 0.000 1
Tl1 Tl 0.000 0.158 0.500 1
Ir1 Ir 0.000 0.334 0.000 1
S1 S 0.184 0.500 0.178 1
S2 S 0.235 0.184 0.178 1
# Final energy ... -5.986 eV/atom
# Uncorrected formation energy ... -0.667 eV/atom
# Density of states at the Fermi level ... 0.771 states/eV per atom
# Total magnetization ... 1.8 μB per formula unit